Here is Cs2RbS6 after structural relaxation from the Alexandria database. Energies are from PBE.

formation energy (no corrections) = -0.55 eV per atom
calculated volume = 36.48 Å³ per atom
magnetic moment = 0.00 μB per cell
E = -3.5964 eV/atom

Lattice parameters (Å, degrees): 5.0903 8.6283 8.6272 119.94 89.99 89.99
With the nearest neighbours (Å) after each atom.
Fractional positions:
Cs  0.5000  0.3331  0.6668  12 S 3.70
Cs  0.5000  0.6669  0.3332  12 S 3.70
Rb  0.0000  0.0000  0.0000  6 S 3.32
S  0.0000  0.9995  0.6153  1 S 1.99
S  0.0000  0.6152  0.9994  1 S 1.99
S  0.0005  0.3847  0.3846  1 S 1.99
S  0.0000  0.3848  0.0006  1 S 1.99
S  0.0000  0.0005  0.3847  1 S 1.99
S  0.9996  0.6153  0.6154  1 S 1.99